[1]
# NaSmFe | OQMD | PBE | relaxed
data_NaSmFe
_symmetry_space_group_name_H-M 'F -4 3 m'
_symmetry_Int_Tables_number 216
_symmetry_space_group_name_Hall 'F -4 2 3'
_cell_length_a 6.859
_cell_length_b 6.859
_cell_length_c 6.859
_cell_angle_alpha 90.00
_cell_angle_beta 90.00
_cell_angle_gamma 90.00
loop_
_atom_site_label
_atom_site_fract_x
_atom_site_fract_y
_atom_site_fract_z
_atom_site_occupancy
Na1 0.000 0.000 0.000 1
Sm1 0.250 0.250 0.750 1
Fe1 0.000 0.000 0.500 1
# energy above the lowest structure with this stoichiometry	326	meV per atom
# theoretical density	4.7	g cm⁻³

[2]
# ZnTcNiW | OQMD | PBE | relaxed
data_ZnTcNiW
_symmetry_space_group_name_H-M 'F -4 3 m'
_symmetry_Int_Tables_number 216
_symmetry_space_group_name_Hall 'F -4 2 3'
_cell_length_a 6.064
_cell_length_b 6.064
_cell_length_c 6.064
_cell_angle_alpha 90.00
_cell_angle_beta 90.00
_cell_angle_gamma 90.00
loop_
_atom_site_label
_atom_site_fract_x
_atom_site_fract_y
_atom_site_fract_z
_atom_site_occupancy
Zn1 0.000 0.000 0.000 1
Tc1 0.250 0.250 0.750 1
Ni1 0.250 0.250 0.250 1
W1 0.000 0.000 0.500 1
# uncorrected energy	-119.37	eV per cell
# theoretical density	12.1	g cm⁻³

[3]
# Dy3Al3SiNi2 | OQMD | PBE | relaxed
data_Dy3Al3SiNi2
_symmetry_space_group_name_H-M 'P -6 2 m'
_symmetry_Int_Tables_number 189
_symmetry_space_group_name_Hall 'P -6 -2'
_cell_length_a 7.2078
_cell_length_b 7.2078
_cell_length_c 3.7490
_cell_angle_alpha 90.00
_cell_angle_beta 90.00
_cell_angle_gamma 120.00
loop_
_atom_site_label
_atom_site_fract_x
_atom_site_fract_y
_atom_site_fract_z
_atom_site_occupancy
Dy1 0.0000 0.5943 0.0000 1
Al1 0.0000 0.2580 0.5000 1
Si1 0.0000 0.0000 0.0000 1
Ni1 0.3333 0.6667 0.5000 1
# energy above the lowest structure with this stoichiometry	0	meV per atom
# theoretical density	7.0	g cm⁻³

Question: Which of these has the lowest theoretical density?
Answer: NaSmFe

Question: Look up the theoretical density of the second one.
Answer: 12.1 g cm⁻³